Record 1
Computed, not measured: a relaxed AcGeB crystal at the PBE level of DFT.

a b c (Å): 4.2961 4.2387 8.0416
angles (deg): 90.00 100.69 90.00
Fractional positions:
1 Ac 0.1745 0.2500 0.3037
2 Ac 0.8255 0.7500 0.6963
3 Ge 0.3901 0.2500 0.9124
4 Ge 0.6099 0.7500 0.0876
5 B 0.3294 0.2500 0.6604
6 B 0.6706 0.7500 0.3396

Computed properties:
* symmetry: P2_1/m (11)
* ΔE to the lowest computed polymorph: 279 meV/atom
* M_tot: 0.0 μB/cell
* formation enthalpy at 0 K: -0.0099 eV/atom

=====

Record 2
Computed, not measured: a relaxed YNbSe2N crystal at the PBE level of DFT.

a b c (Å): 5.4088 5.4088 4.1110
angles (deg): 90.00 90.00 90.00
Fractional positions:
1 Y 0.0000 0.0000 0.0000
2 Nb 0.5000 0.5000 0.5000
3 Se 0.0000 0.5000 0.0000
4 Se 0.5000 0.0000 0.0000
5 N 0.0000 0.0000 0.5000

Computed properties:
* formation energy from raw total energies: 0.566 eV/atom
* symmetry: P4/mmm (123)
* ΔE to the lowest computed polymorph: 1308 meV/atom
* M_tot: 1.1 μB/cell

=====

Record 3
Computed, not measured: a relaxed BaNi2Hg crystal at the PBE level of DFT.

a b c (Å): 7.1862 7.1862 7.1862
angles (deg): 90.00 90.00 90.00
Fractional positions:
1 Ba 0.0000 0.0000 0.0000
2 Ba 0.0000 0.5000 0.5000
3 Ba 0.5000 0.0000 0.5000
4 Ba 0.5000 0.5000 0.0000
5 Ni 0.0000 0.0000 0.5000
6 Ni 0.0000 0.5000 0.0000
7 Ni 0.2500 0.2500 0.2500
8 Ni 0.2500 0.7500 0.7500
9 Ni 0.5000 0.0000 0.0000
10 Ni 0.5000 0.5000 0.5000
11 Ni 0.7500 0.2500 0.7500
12 Ni 0.7500 0.7500 0.2500
13 Hg 0.2500 0.2500 0.7500
14 Hg 0.2500 0.7500 0.2500
15 Hg 0.7500 0.2500 0.2500
16 Hg 0.7500 0.7500 0.7500

Computed properties:
* symmetry: F-43m (216)
* M_tot: 3.9 μB/cell
* formation enthalpy at 0 K: 0.5133 eV/atom

=====

Number 1: calculated total energy -5.1443 eV per atom. Number 2: calculated total energy -5.7996 eV per atom. Number 3: calculated total energy -2.9335 eV per atom.